Entry 1:
This record from Alexandria via LeMat-Bulk describes a crystal of PNF2 relaxed with PBEsol. The functional is SCAN.

Cell and atoms, written as CIF:
```
data_PNF2
_chemical_formula_sum 'P4 N4 F8'
_space_group_name_H-M_alt 'C m c 21'
_space_group_IT_number 36
_space_group_name_Hall 'C 2c -2'
_cell_length_a 8.8089
_cell_length_b 5.4832
_cell_length_c 4.9782
_cell_angle_alpha 90.00
_cell_angle_beta 90.00
_cell_angle_gamma 90.00
loop_
_atom_site_label
_atom_site_type_symbol
_atom_site_fract_x
_atom_site_fract_y
_atom_site_fract_z
P1 P 0.0000 0.1358 0.0000
N1 N 0.0000 0.0883 0.6914
F1 F 0.1340 0.3116 0.0639
```

Summary:
The calculation puts the size of the total moment at 0.00 μB/atom. The calculation puts the formation energy without anion corrections at -1.94 eV per atom. The density of states at the Fermi level comes out at 0.000 states/eV/atom. The calculation puts the offset from the most stable computed form at 0 meV per atom.

Entry 2:
This record from Alexandria via LeMat-Bulk describes a crystal of Li2GeSbCl relaxed with PBEsol. The functional is SCAN.

Cell and atoms, written as CIF:
```
data_Li2GeSbCl
_chemical_formula_sum 'Li2 Ge1 Sb1 Cl1'
_space_group_name_H-M_alt 'P 4/m m m'
_space_group_IT_number 123
_space_group_name_Hall '-P 4 2'
_cell_length_a 4.4430
_cell_length_b 4.4430
_cell_length_c 5.2536
_cell_angle_alpha 90.00
_cell_angle_beta 90.00
_cell_angle_gamma 90.00
loop_
_atom_site_label
_atom_site_type_symbol
_atom_site_fract_x
_atom_site_fract_y
_atom_site_fract_z
Li1 Li 0.0000 0.5000 0.0000
Ge1 Ge 0.0000 0.0000 0.5000
Sb1 Sb 0.5000 0.5000 0.5000
Cl1 Cl 0.0000 0.0000 0.0000
```

Summary:
The calculation puts the size of the total moment at 0.00 μB/atom. The calculation puts the formation energy without anion corrections at -0.52 eV per atom. The density of states at the Fermi level comes out at 0.189 states/eV/atom.

Entry 3:
This record from Alexandria via LeMat-Bulk describes a crystal of Mg2GaAg2 relaxed with PBEsol. The functional is SCAN.

Cell and atoms, written as CIF:
```
data_Mg2GaAg2
_chemical_formula_sum 'Mg4 Ga2 Ag4'
_space_group_name_H-M_alt 'P 4/m b m'
_space_group_IT_number 127
_space_group_name_Hall '-P 4 2ab'
_cell_length_a 6.9790
_cell_length_b 6.9790
_cell_length_c 3.8310
_cell_angle_alpha 90.00
_cell_angle_beta 90.00
_cell_angle_gamma 90.00
loop_
_atom_site_label
_atom_site_type_symbol
_atom_site_fract_x
_atom_site_fract_y
_atom_site_fract_z
Mg1 Mg 0.1608 0.3392 0.0000
Ga1 Ga 0.0000 0.0000 0.5000
Ag1 Ag 0.1415 0.6415 0.5000
```

Summary:
The calculation puts the size of the total moment at 0.00 μB/atom. For the energy of formation from the pure elements, the calculation gives -0.151 eV per atom. The density of states at the Fermi level comes out at 0.333 states/eV/atom.

Entry 4:
This record from Alexandria via LeMat-Bulk describes a crystal of InAg2Te relaxed with PBEsol. The functional is SCAN.

Cell and atoms, written as CIF:
```
data_InAg2Te
_chemical_formula_sum 'In2 Ag4 Te2'
_space_group_name_H-M_alt 'I -4 m 2'
_space_group_IT_number 119
_space_group_name_Hall 'I -4 -2'
_cell_length_a 4.2275
_cell_length_b 4.2275
_cell_length_c 9.6309
_cell_angle_alpha 90.00
_cell_angle_beta 90.00
_cell_angle_gamma 90.00
loop_
_atom_site_label
_atom_site_type_symbol
_atom_site_fract_x
_atom_site_fract_y
_atom_site_fract_z
In1 In 0.0000 0.0000 0.0000
Ag1 Ag 0.0000 0.0000 0.5000
Ag2 Ag 0.0000 0.5000 0.7500
Te1 Te 0.0000 0.5000 0.2500
```

Summary:
The calculation puts the size of the total moment at 0.00 μB/atom. The calculation puts the formation energy without anion corrections at 0.12 eV per atom. The density of states at the Fermi level comes out at 0.311 states/eV/atom. The calculation puts the offset from the most stable computed form at 48 meV per atom.

Entry 5:
This record from Alexandria via LeMat-Bulk describes a crystal of Nb3Fe relaxed with PBEsol. The functional is SCAN.

Cell and atoms, written as CIF:
```
data_Nb3Fe
_chemical_formula_sum 'Nb12 Fe4'
_space_group_name_H-M_alt 'F m -3 m'
_space_group_IT_number 225
_space_group_name_Hall '-F 4 2 3'
_cell_length_a 6.3016
_cell_length_b 6.3016
_cell_length_c 6.3016
_cell_angle_alpha 90.00
_cell_angle_beta 90.00
_cell_angle_gamma 90.00
loop_
_atom_site_label
_atom_site_type_symbol
_atom_site_fract_x
_atom_site_fract_y
_atom_site_fract_z
Nb1 Nb 0.0000 0.0000 0.0000
Nb2 Nb 0.2500 0.2500 0.2500
Fe1 Fe 0.0000 0.0000 0.5000
```

Summary:
The calculation puts the size of the total moment at 0.28 μB/atom. For the energy of formation from the pure elements, the calculation gives 0.075 eV per atom. The density of states at the Fermi level comes out at 0.743 states/eV/atom.

Entry 6:
This record from Alexandria via LeMat-Bulk describes a crystal of Ba5P3HO13 relaxed with PBEsol. The functional is SCAN.

Cell and atoms, written as CIF:
```
data_Ba5P3HO13
_chemical_formula_sum 'Ba10 P6 H2 O26'
_space_group_name_H-M_alt 'P 63'
_space_group_IT_number 173
_space_group_name_Hall 'P 6c'
_cell_length_a 10.2054
_cell_length_b 10.2054
_cell_length_c 7.7197
_cell_angle_alpha 90.00
_cell_angle_beta 90.00
_cell_angle_gamma 120.00
loop_
_atom_site_label
_atom_site_type_symbol
_atom_site_fract_x
_atom_site_fract_y
_atom_site_fract_z
Ba1 Ba 0.0192 0.2632 0.0000
Ba2 Ba 0.3333 0.6667 0.2484
Ba3 Ba 0.3333 0.6667 0.7493
P1 P 0.0358 0.4025 0.5012
H1 H 0.0000 0.0000 0.1930
O1 O 0.0000 0.0000 0.0664
O2 O 0.0815 0.3435 0.3392
O3 O 0.0876 0.3539 0.6664
O4 O 0.1212 0.5786 0.4959
O5 O 0.1378 0.6599 0.0027
```

Summary:
The calculation puts the size of the total moment at 0.00 μB/atom. As for the calculated total energy: -17.2860 eV/atom. The density of states at the Fermi level comes out at 0.000 states/eV/atom.